# Zn2InPb

An optimized crystal structure of Zn2InPb (PBE-GGA, Alexandria).

Unit cell a=4.7962 b=4.7962 c=6.0622 alpha=77.25 beta=77.25 gamma=43.21
With the nearest neighbours (Å) after each atom.
Positions (direct):
In 0.4874 0.4874 0.5541  5 Zn 2.92-2.98, 1 Pb 3.20
Pb 0.2586 0.2586 0.2186  5 Zn 3.06-3.19, 3 In 3.20-3.28
Zn 0.0139 0.0139 0.9390  3 Zn 2.67-2.80, 2 In 2.98
Zn 0.7401 0.7401 0.7883  3 Zn 2.67-2.80, 3 In 2.92-2.94

Output
As for the size of the total moment: 0.00 Bohr magnetons per cell. Its total energy is -0.1569 Ry per atom. Its offset from the most stable computed form is 0.021 eV per atom.

***

# ZnInPb3

An optimized crystal structure of ZnInPb3 (PBE-GGA, Alexandria).

Unit cell a=5.8166 b=5.8166 c=5.8166 alpha=90.00 beta=90.00 gamma=90.00
With the nearest neighbours (Å) after each atom.
Positions (direct):
Pb 0.0000 0.5000 0.0000  2 In 2.91
Pb 0.0000 0.0000 0.5000  2 In 2.91
Pb 0.5000 0.0000 0.0000  2 In 2.91
Zn 0.5000 0.5000 0.5000  12 Pb 4.11
In 0.0000 0.0000 0.0000  6 Pb 2.91

Output
As for the size of the total moment: 0.00 Bohr magnetons per cell. Its total energy is -0.1756 Ry per atom. Its offset from the most stable computed form is 0.335 eV per atom.

***

# Zn2In2Pb

An optimized crystal structure of Zn2In2Pb (PBE-GGA, Alexandria).

Unit cell a=8.0476 b=8.0476 c=3.6633 alpha=90.00 beta=90.00 gamma=90.00
With the nearest neighbours (Å) after each atom.
Positions (direct):
Pb 0.0000 0.0000 0.0000  4 Zn 3.23, 8 In 3.48
Pb 0.5000 0.5000 0.0000  4 Zn 3.23, 8 In 3.48
Zn 0.3836 0.8836 0.0000  1 Zn 2.65
Zn 0.8836 0.6164 0.0000  1 Zn 2.65
Zn 0.6164 0.1164 0.0000  1 Zn 2.65
Zn 0.1164 0.3836 0.0000  1 Zn 2.65
In 0.1785 0.6785 0.5000  6 Zn 2.97-3.04
In 0.6785 0.8215 0.5000  6 Zn 2.97-3.04
In 0.8215 0.3215 0.5000  6 Zn 2.97-3.04
In 0.3215 0.1785 0.5000  6 Zn 2.97-3.04

Output
As for the size of the total moment: 0.00 Bohr magnetons per cell. Its total energy is -0.1658 Ry per atom. Its offset from the most stable computed form is 0.000 eV per atom.

***

# Zn2InPb2

An optimized crystal structure of Zn2InPb2 (PBE-GGA, Alexandria).

Unit cell a=7.2620 b=7.2620 c=4.6965 alpha=90.00 beta=90.00 gamma=90.00
With the nearest neighbours (Å) after each atom.
Positions (direct):
Pb 0.1772 0.6772 0.5000  6 Zn 3.10-3.24
Pb 0.6772 0.8228 0.5000  6 Zn 3.10-3.24
Pb 0.8228 0.3228 0.5000  6 Zn 3.10-3.24
Pb 0.3228 0.1772 0.5000  6 Zn 3.10-3.24
Zn 0.3750 0.8750 0.0000  1 Zn 2.57, 2 In 2.87
Zn 0.8750 0.6250 0.0000  1 Zn 2.57, 2 In 2.87
Zn 0.6250 0.1250 0.0000  1 Zn 2.57, 2 In 2.87
Zn 0.1250 0.3750 0.0000  1 Zn 2.57, 2 In 2.87
In 0.0000 0.0000 0.0000  4 Zn 2.87
In 0.5000 0.5000 0.0000  4 Zn 2.87

Output
As for the size of the total moment: 0.00 Bohr magnetons per cell. Its total energy is -0.1800 Ry per atom. Its offset from the most stable computed form is 0.000 eV per atom.

***

# ZnIn2Pb

An optimized crystal structure of ZnIn2Pb (PBE-GGA, Alexandria).

Unit cell a=5.0078 b=3.4209 c=6.3940 alpha=72.68 beta=90.00 gamma=90.00
With the nearest neighbours (Å) after each atom.
Positions (direct):
In 0.0000 0.9027 0.9802  2 Zn 3.03, 2 In 3.19-3.29
In 0.0000 0.5973 0.5198  2 Zn 3.03, 2 In 3.19-3.29
Pb 0.5000 0.2500 0.2500  2 Zn 3.14, 2 Pb 3.42, 8 In 3.45-3.46
Zn 0.5000 0.7500 0.7500  4 In 3.03, 2 Pb 3.14

Output
As for the size of the total moment: 0.00 Bohr magnetons per cell. Its total energy is -0.1846 Ry per atom.

***

# Zn2InPb

An optimized crystal structure of Zn2InPb (PBE-GGA, Alexandria).

Unit cell a=3.5949 b=3.5949 c=7.1086 alpha=90.00 beta=90.00 gamma=90.01
With the nearest neighbours (Å) after each atom.
Positions (direct):
In 0.5000 0.5000 0.2500  8 Zn 3.01
Pb 0.5000 0.5000 0.7500  8 Zn 3.20, 2 In 3.55
Zn 0.0000 0.0000 0.0236  4 In 3.01, 4 Pb 3.20, 1 Zn 3.22
Zn 0.0000 0.0000 0.4764  4 In 3.01, 4 Pb 3.20, 1 Zn 3.22

Output
As for the size of the total moment: 0.00 Bohr magnetons per cell. Its total energy is -0.1550 Ry per atom. Its offset from the most stable computed form is 0.046 eV per atom.